# SmB4Pb

A relaxed SmB4Pb crystal (PBE, the Open Quantum Materials Database).

Geometry as extended XYZ:
```
6
Lattice="3.264 0.000 0.000 -1.632 2.826 0.000 0.000 0.000 8.642" Properties=species:S:1:pos:R:3 pbc="T T T"
Sm 0.000 0.000 0.000
B 0.000 1.884 1.989
B 0.000 1.884 6.653
B 1.632 0.942 1.989
B 1.632 0.942 6.653
Pb 0.000 0.000 4.321
```

Space-group type   P6/mmm (191)
Polymorph energy (0 for the lowest one)   63 meV per atom

=====

# LiLaHgS3

A relaxed LiLaHgS3 crystal (PBE, the Open Quantum Materials Database).

Geometry as extended XYZ:
```
12
Lattice="2.077 -6.251 0.000 2.077 6.251 0.000 0.000 0.000 11.324" Properties=species:S:1:pos:R:3 pbc="T T T"
Li 2.077 3.430 8.493
Li 2.077 -3.430 2.831
La 2.077 0.000 0.000
La 2.077 0.000 5.662
Hg 2.077 5.721 2.831
Hg 2.077 -5.721 8.493
S 2.077 4.412 0.734
S 2.077 4.412 4.928
S 2.077 1.193 2.831
S 2.077 -1.193 8.493
S 2.077 -4.412 6.396
S 2.077 -4.412 10.590
```

Space-group type   Cmcm (63)

=====

Number 1: DFT total energy -34.252 eV per formula unit. Number 2: DFT total energy -26.299 eV per formula unit.